# TcBi3Ir (PBE, optimized geometry)
data_TcBi3Ir
_chemical_formula_sum 'Tc1 Bi3 Ir1'
_cell_length_a 5.1864
_cell_length_b 5.1864
_cell_length_c 5.1864
_cell_angle_alpha 90.00
_cell_angle_beta 90.00
_cell_angle_gamma 90.00
_space_group_name_H-M_alt 'P m -3 m'
_space_group_IT_number 221
_space_group_name_Hall '-P 4 2 3'
loop_
_atom_site_label
_atom_site_type_symbol
_atom_site_fract_x
_atom_site_fract_y
_atom_site_fract_z
_atom_site_occupancy
Tc1 Tc 0.0000 0.0000 0.0000 1
Bi1 Bi 0.0000 0.0000 0.5000 1
Ir1 Ir 0.5000 0.5000 0.5000 1
# * calculated total energy: -0.186 hartree per atom
# * relative energy among the computed polymorphs: 0.0 meV per atom
# * DOS(E_F): 0.878 states/eV/atom
# * density: 10.92 g/cm³
# * total magnetization: 0.00 μB per formula unit